A relaxed Ho3SiIr2 crystal. Source: the Alexandria database, functional PBE-GGA.

Summary:
- Mass density: 11.33 g cm⁻³
- Magnetization: 0.00 μB/f.u.
- Total DFT energy (no corrections): -6.997 eV/atom
- Formation energy without anion corrections: -850.9 meV/atom

a = 3.922 Å, b = 11.885 Å, c = 11.410 Å
α = 90.00°, β = 90.00°, γ = 90.00°
Positions (direct):
Ho 0.250 0.383 0.057
Ho 0.750 0.617 0.943
Ho 0.750 0.883 0.443
Ho 0.250 0.117 0.557
Ho 0.250 0.693 0.197
Ho 0.750 0.307 0.803
Ho 0.750 0.193 0.303
Ho 0.250 0.807 0.697
Ho 0.250 0.443 0.372
Ho 0.750 0.557 0.628
Ho 0.750 0.943 0.128
Ho 0.250 0.057 0.872
Si 0.250 0.139 0.124
Si 0.750 0.861 0.876
Si 0.750 0.639 0.376
Si 0.250 0.361 0.624
Ir 0.250 0.686 0.480
Ir 0.750 0.314 0.520
Ir 0.750 0.186 0.020
Ir 0.250 0.814 0.980
Ir 0.250 0.020 0.306
Ir 0.750 0.980 0.694
Ir 0.750 0.520 0.194
Ir 0.250 0.480 0.806

A relaxed UCo5Ge2 crystal. Source: the Alexandria database, functional PBE-GGA.

Summary:
- Mass density: 10.34 g cm⁻³
- Magnetization: 0.67 μB/f.u.
- ΔE_f: -1.3 eV per formula unit
- Total DFT energy (no corrections): -7.163 eV/atom

a = 3.557 Å, b = 5.998 Å, c = 5.998 Å
α = 65.37°, β = 72.75°, γ = 72.75°
Positions (direct):
U 0.000 0.000 0.000
Co 0.000 0.500 0.500
Co 0.631 0.566 0.173
Co 0.369 0.434 0.827
Co 0.369 0.827 0.434
Co 0.631 0.173 0.566
Ge 0.757 0.743 0.743
Ge 0.243 0.257 0.257

A relaxed LaYErSe3 crystal. Source: the Alexandria database, functional PBE-GGA.

Summary:
- Mass density: 6.37 g cm⁻³
- Magnetization: 0.10 μB/f.u.
- Total DFT energy (no corrections): -6.083 eV/atom
- Formation energy without anion corrections: -1681.2 meV/atom

a = 4.102 Å, b = 8.003 Å, c = 10.336 Å
α = 103.74°, β = 90.00°, γ = 90.00°
Positions (direct):
La 0.750 0.816 0.790
La 0.250 0.184 0.210
Y 0.250 0.173 0.623
Y 0.750 0.827 0.377
Er 0.250 0.667 0.092
Er 0.750 0.333 0.908
Se 0.250 0.795 0.560
Se 0.750 0.906 0.110
Se 0.750 0.478 0.189
Se 0.750 0.205 0.440
Se 0.250 0.522 0.811
Se 0.250 0.094 0.890

A relaxed Th2AgSn2 crystal. Source: the Alexandria database, functional PBE-GGA.

Summary:
- Mass density: 9.87 g cm⁻³
- Magnetization: 0.00 μB/f.u.
- ΔE_f: -2.3 eV per formula unit
- Total DFT energy (no corrections): -5.600 eV/atom
- Excess energy over the best structure of this formula in the dataset: 0.000 eV per formula unit

a = 4.620 Å, b = 6.291 Å, c = 10.374 Å
α = 80.74°, β = 77.13°, γ = 68.46°
Positions (direct):
Th 0.313 0.269 0.106
Th 0.504 0.323 0.670
Th 0.687 0.731 0.894
Th 0.496 0.677 0.330
Ag 0.789 0.085 0.336
Ag 0.211 0.915 0.664
Sn 0.966 0.182 0.886
Sn 0.147 0.273 0.434
Sn 0.034 0.818 0.114
Sn 0.853 0.727 0.566

A relaxed Mg2TlCl crystal. Source: the Alexandria database, functional PBE-GGA.

Summary:
- Mass density: 4.77 g cm⁻³
- Magnetization: 0.00 μB/f.u.
- Total DFT energy (no corrections): -2.148 eV/atom
- Excess energy over the best structure of this formula in the dataset: 0.855 eV per formula unit
- Formation energy without anion corrections: -297.0 meV/atom

a = 6.251 Å, b = 6.251 Å, c = 6.251 Å
α = 139.88°, β = 139.88°, γ = 58.03°
Positions (direct):
Cl 0.750 0.250 0.500
Mg 0.000 0.000 0.000
Mg 0.250 0.750 0.500
Tl 0.500 0.500 0.000

A relaxed KYInTe3 crystal. Source: the Alexandria database, functional PBE-GGA.

Summary:
- Mass density: 4.65 g cm⁻³
- Magnetization: 0.00 μB/f.u.
- Total DFT energy (no corrections): -4.267 eV/atom
- Formation energy without anion corrections: -979.8 meV/atom

a = 4.312 Å, b = 9.291 Å, c = 11.691 Å
α = 107.61°, β = 90.00°, γ = 90.00°
Positions (direct):
K 0.250 0.227 0.278
K 0.750 0.773 0.722
Y 0.250 0.638 0.155
Y 0.750 0.362 0.845
In 0.250 0.124 0.570
In 0.750 0.876 0.430
Te 0.750 0.890 0.188
Te 0.250 0.110 0.812
Te 0.250 0.657 0.429
Te 0.750 0.343 0.571
Te 0.750 0.393 0.114
Te 0.250 0.607 0.886